1.
A plane-wave DFT calculation with PBE was carried out for a geometry-optimized Tm8SbTe2 structure.

Structure (POSCAR):
```
Tm8SbTe2
1.0
-5.506 -0.381 1.953
-1.454 -1.750 -7.623
3.132 -5.746 4.524
Tm Sb Te
8 1 2
direct
0.856 0.914 0.685
0.856 0.685 0.914
0.300 0.601 0.601
0.500 0.758 0.242
0.500 0.242 0.758
0.700 0.399 0.399
0.144 0.315 0.086
0.144 0.086 0.315
0.500 0.000 0.000
0.000 0.305 0.695
0.000 0.695 0.305
```

## Properties
The value obtained for the energy relative to the elements, uncorrected is -0.440 eV/atom. The calculation puts the mass density at 9.01 g/cm³. The total energy is -4.638 eV per atom.

***

2.
A plane-wave DFT calculation with PBE was carried out for a geometry-optimized Cs3Rb12Pd5 structure.

Structure (POSCAR):
```
Cs3Rb12Pd5
1.0
-14.568 4.160 -12.127
0.791 -19.184 2.822
-2.969 8.918 16.978
Cs Pd Rb
12 20 48
direct
0.750 0.375 0.125
0.875 0.750 0.125
0.375 0.750 0.625
0.250 0.125 0.375
0.875 0.125 0.250
0.375 0.625 0.250
0.625 0.375 0.750
0.125 0.875 0.750
0.750 0.875 0.625
0.625 0.250 0.375
0.125 0.250 0.875
0.250 0.625 0.875
0.125 0.375 0.250
0.000 0.500 0.000
0.000 0.000 0.000
0.375 0.250 0.125
0.500 0.000 0.500
0.500 0.500 0.000
0.125 0.750 0.375
0.750 0.125 0.875
0.750 0.625 0.375
0.375 0.125 0.750
0.625 0.875 0.250
0.500 0.500 0.500
0.500 0.000 0.000
0.000 0.000 0.500
0.250 0.375 0.625
0.250 0.875 0.125
0.000 0.500 0.500
0.875 0.250 0.625
0.625 0.750 0.875
0.875 0.625 0.750
0.678 0.085 0.991
0.312 0.491 0.406
0.009 0.415 0.322
0.491 0.178 0.085
0.593 0.678 0.688
0.009 0.594 0.188
0.312 0.822 0.407
0.094 0.907 0.085
0.594 0.009 0.688
0.678 0.593 0.188
0.822 0.509 0.415
0.812 0.906 0.991
0.085 0.678 0.491
0.415 0.406 0.093
0.093 0.906 0.415
0.407 0.085 0.594
0.093 0.188 0.178
0.509 0.688 0.094
0.812 0.907 0.322
0.085 0.407 0.094
0.415 0.009 0.822
0.594 0.585 0.407
0.906 0.812 0.491
0.822 0.312 0.907
0.406 0.415 0.593
0.094 0.188 0.509
0.178 0.688 0.093
0.188 0.093 0.678
0.585 0.991 0.178
0.915 0.593 0.906
0.491 0.312 0.906
0.593 0.915 0.406
0.907 0.812 0.822
0.907 0.094 0.585
0.915 0.322 0.509
0.188 0.094 0.009
0.585 0.594 0.907
0.406 0.991 0.312
0.322 0.407 0.812
0.178 0.491 0.585
0.906 0.093 0.915
0.688 0.178 0.593
0.509 0.822 0.915
0.991 0.406 0.812
0.407 0.322 0.312
0.991 0.585 0.678
0.688 0.509 0.594
0.322 0.915 0.009
```

## Properties
The calculation puts the mass density at 2.31 g/cm³. The total energy is -1.801 eV per atom.

***

3.
A plane-wave DFT calculation with PBE was carried out for a geometry-optimized CsHg2HAu structure.

Structure (POSCAR):
```
CsHg2HAu
1.0
-3.818 4.183 1.954
-1.633 -3.595 4.506
2.731 1.479 2.169
Cs H Au Hg
1 1 1 2
direct
0.500 0.500 0.500
0.000 0.000 0.500
0.000 0.000 0.000
0.000 0.500 0.000
0.500 0.000 0.000
```

## Properties
The calculation puts the mass density at 8.94 g/cm³. The total energy is -1.620 eV per atom.

***

4.
A plane-wave DFT calculation with PBE was carried out for a geometry-optimized NaMgTe structure.

Structure (POSCAR):
```
NaMgTe
1.0
5.605 0.000 0.000
2.803 4.854 0.000
2.803 1.618 6.360
Te Mg Na
2 2 2
direct
0.269 0.269 0.194
0.731 0.731 0.806
0.421 0.421 0.737
0.579 0.579 0.263
0.892 0.892 0.325
0.108 0.108 0.675
```

## Properties
The value obtained for the energy relative to the elements, uncorrected is -0.499 eV/atom. The calculation puts the mass density at 3.36 g/cm³. For the polymorph energy (0 for the lowest one), the calculation gives 0.0000 eV per atom. The total energy is -2.517 eV per atom.

***

5.
A plane-wave DFT calculation with PBE was carried out for a geometry-optimized AgHg3S3 structure.

Structure (POSCAR):
```
AgHg3S3
1.0
5.467 0.000 0.000
0.000 9.133 -0.021
0.000 -4.569 7.908
Ag Hg S
2 6 6
direct
0.750 0.333 0.667
0.250 0.667 0.333
0.250 0.676 0.837
0.250 0.162 0.324
0.250 0.161 0.839
0.750 0.324 0.163
0.750 0.838 0.676
0.750 0.839 0.161
0.750 0.646 0.823
0.750 0.177 0.354
0.750 0.177 0.823
0.250 0.354 0.177
0.250 0.823 0.646
0.250 0.823 0.177
```

## Properties
The value obtained for the energy relative to the elements, uncorrected is 0.078 eV/atom. The calculation puts the mass density at 6.79 g/cm³. The total energy is -2.227 eV per atom.

***

6.
A plane-wave DFT calculation with PBE was carried out for a geometry-optimized SrAlPd structure.

Structure (POSCAR):
```
SrAlPd
1.0
-1.910 -3.186 -2.869
4.641 -1.163 -1.797
-3.092 -3.254 5.672
Pd Al Sr
2 2 2
direct
0.250 0.757 0.389
0.750 0.243 0.611
0.250 0.337 0.492
0.750 0.663 0.508
0.250 0.163 0.891
0.750 0.837 0.109
```

## Properties
The calculation puts the mass density at 5.11 g/cm³. The total energy is -4.132 eV per atom.